Entry 1:
Compound: K2Ga2Sn3
Source: Alexandria via LeMat-Bulk
Functional: PBE
Structure: relaxed

## Properties
Formation enthalpy at 0 K = -0.140 eV per atom
Total moment = 0.00 μB/f.u.
Space-group type = C2/m
DFT total energy = -3.0337 eV/atom

Geometry as extended XYZ:
```
7
Lattice="4.543 0.000 0.000 -2.272 5.710 -2.458 0.000 -0.557 8.138" Properties=species:S:1:pos:R:3 pbc="T T T"
Sn 0.000 4.231 2.567
Sn 2.272 0.000 0.000
Ga 0.000 1.576 1.451
Ga 2.272 3.577 4.229
K 0.000 1.311 5.796
Sn 2.272 0.923 3.113
K 2.272 3.842 -0.116
```



Entry 2:
Compound: KGa2Sn3
Source: Alexandria via LeMat-Bulk
Functional: PBE
Structure: relaxed

## Properties
Formation enthalpy at 0 K = -0.065 eV per atom
Total moment = 0.00 μB/f.u.
Space-group type = C2/m
DFT total energy = -3.2579 eV/atom
Polymorph energy (0 for the lowest one) = 0.00 kJ/mol of atoms

Geometry as extended XYZ:
```
12
Lattice="4.343 0.000 1.196 0.627 7.706 6.210 -0.735 0.976 11.155" Properties=species:S:1:pos:R:3 pbc="T T T"
Sn 3.962 3.561 11.065
Sn 0.273 5.121 7.495
K 0.504 6.878 15.142
Sn 2.411 1.517 8.212
Sn 1.824 7.165 10.348
Ga 2.561 6.745 7.669
K 3.731 1.805 3.417
Sn 2.916 3.801 6.380
Sn 1.319 4.881 12.180
Ga 3.513 6.876 12.698
Ga 1.674 1.937 10.891
Ga 0.722 1.806 5.862
```



Entry 3:
Compound: K2SrGaSn2
Source: Alexandria via LeMat-Bulk
Functional: PBE
Structure: relaxed

## Properties
Formation enthalpy at 0 K = -0.284 eV per atom
Total moment = 0.00 μB/f.u.
Space-group type = Pmc2_1
DFT total energy = -2.7692 eV/atom

Geometry as extended XYZ:
```
12
Lattice="4.902 0.000 0.000 0.000 8.470 0.000 0.000 0.000 10.003" Properties=species:S:1:pos:R:3 pbc="T T T"
Ga 2.451 1.251 6.615
K 2.451 0.094 0.952
Sr 0.000 4.370 5.378
Sn 0.000 2.011 7.947
K 0.000 7.119 8.483
Sn 2.451 6.717 6.045
Ga 2.451 5.486 3.389
K 0.000 2.884 1.520
Sr 0.000 0.135 4.626
Sn 0.000 6.246 2.056
Sn 2.451 2.482 3.958
K 2.451 4.329 9.052
```



Entry 4:
Compound: KGa2TcSn
Source: Alexandria via LeMat-Bulk
Functional: PBE
Structure: relaxed

## Properties
Formation enthalpy at 0 K = -0.150 eV per atom
Total moment = 0.00 μB/f.u.
Space-group type = P4/mmm
DFT total energy = -4.4536 eV/atom

Geometry as extended XYZ:
```
5
Lattice="-2.683 1.375 -3.957 3.387 -2.055 -3.010 -2.551 -4.465 0.178" Properties=species:S:1:pos:R:3 pbc="T T T"
Tc 0.000 0.000 0.000
Ga -1.342 0.687 -1.979
Sn -1.275 -2.233 0.089
K -0.924 -2.573 -3.395
Ga 1.693 -1.027 -1.505
```



Entry 5:
Compound: KGaTcSn2
Source: Alexandria via LeMat-Bulk
Functional: PBE
Structure: relaxed

## Properties
Formation enthalpy at 0 K = -0.031 eV per atom
Total moment = 0.21 μB/f.u.
Space-group type = P4/mmm
DFT total energy = -4.5306 eV/atom

Geometry as extended XYZ:
```
5
Lattice="5.234 0.000 0.000 0.000 5.234 0.000 0.000 0.000 4.981" Properties=species:S:1:pos:R:3 pbc="T T T"
K 2.617 2.617 2.490
Tc 0.000 0.000 0.000
Ga 0.000 0.000 2.490
Sn 0.000 2.617 0.000
Sn 2.617 0.000 0.000
```



Entry 6:
Compound: K2GaSnTe4
Source: Alexandria via LeMat-Bulk
Functional: PBE
Structure: relaxed

## Properties
Total moment = 0.00 μB/f.u.
Space-group type = Pmn2_1
DFT total energy = -3.2702 eV/atom

Geometry as extended XYZ:
```
16
Lattice="-3.278 -6.333 -1.488 8.541 -4.803 1.632 -2.330 -0.981 9.309" Properties=species:S:1:pos:R:3 pbc="T T T"
Sn -3.008 -7.557 3.448
K -0.288 -5.201 6.893
K 1.934 -9.393 2.009
K 0.885 -4.707 2.208
Te -1.489 -3.394 4.267
Ga 1.171 -0.729 0.216
Ga 4.509 -7.841 5.300
Te -0.309 -2.844 -0.377
Te -1.013 -7.549 1.133
Te 2.902 -6.809 7.189
Te 4.753 -9.847 0.152
Te 3.920 -6.380 3.124
K 0.776 -9.880 6.633
Te 3.626 -10.291 4.821
Sn 5.527 -7.122 0.633
Te -2.326 -8.102 6.377
```



Entry 7:
Compound: K2TlGa3Sn4
Source: Alexandria via LeMat-Bulk
Functional: PBE
Structure: relaxed

## Properties
Formation enthalpy at 0 K = -0.130 eV per atom
Total moment = 0.00 μB/f.u.
Space-group type = P-4m2
DFT total energy = -3.0953 eV/atom

Geometry as extended XYZ:
```
10
Lattice="5.073 0.000 0.000 0.000 5.073 0.000 0.000 0.000 11.382" Properties=species:S:1:pos:R:3 pbc="T T T"
Ga 0.000 0.000 5.691
Ga 2.537 0.000 9.990
Sn 0.000 2.537 4.127
Sn 0.000 0.000 0.000
K 0.000 2.537 8.537
Sn 2.537 2.537 0.000
K 2.537 0.000 2.844
Tl 2.537 2.537 5.691
Sn 2.537 0.000 7.255
Ga 0.000 2.537 1.392
```



Entry 8:
Compound: KTlGaSn
Source: Alexandria via LeMat-Bulk
Functional: PBE
Structure: relaxed

## Properties
Formation enthalpy at 0 K = -0.007 eV per atom
Total moment = 0.00 μB/f.u.
Space-group type = F-43m
DFT total energy = -2.6309 eV/atom

Geometry as extended XYZ:
```
4
Lattice="5.477 0.000 0.000 2.739 4.744 0.000 2.739 1.581 4.472" Properties=species:S:1:pos:R:3 pbc="T T T"
Sn 8.216 4.744 3.354
Tl 0.000 0.000 0.000
K 2.739 1.581 1.118
Ga 5.477 3.162 2.236
```



Entry 9:
Compound: K2Tl6GaSn
Source: Alexandria via LeMat-Bulk
Functional: PBE
Structure: relaxed

## Properties
Formation enthalpy at 0 K = 0.001 eV per atom
Total moment = 0.00 μB/f.u.
Space-group type = R-3m
DFT total energy = -2.3408 eV/atom

Geometry as extended XYZ:
```
20
Lattice="-7.260 0.426 2.911 -1.130 -0.192 7.749 -1.811 13.593 4.033" Properties=species:S:1:pos:R:3 pbc="T T T"
Tl -3.623 1.166 7.420
Tl -4.233 5.488 9.719
Tl -2.437 7.982 7.762
Tl -3.582 5.598 5.254
Tl -6.579 12.660 7.274
Tl -5.968 8.339 4.974
K -2.119 9.378 3.883
K -7.566 11.539 11.062
Ga 0.000 0.000 0.000
Tl -6.692 1.346 8.650
Tl -3.510 12.480 6.043
Tl -6.214 1.428 5.375
Sn -5.324 3.853 7.238
Tl -7.765 5.844 6.932
K -2.636 2.287 3.632
K -8.083 4.448 10.810
Sn -4.878 9.973 7.455
Tl -6.620 8.228 9.439
Tl -3.988 12.399 9.319
Ga -5.101 6.913 7.347
```



Entry 10:
Compound: K2ZnGa3Sn4
Source: Alexandria via LeMat-Bulk
Functional: PBE
Structure: relaxed

## Properties
Formation enthalpy at 0 K = -0.147 eV per atom
Total moment = 0.00 μB/f.u.
Space-group type = P-4m2
DFT total energy = -3.0032 eV/atom

Geometry as extended XYZ:
```
10
Lattice="4.891 0.000 0.000 0.000 4.891 0.000 0.000 0.000 11.448" Properties=species:S:1:pos:R:3 pbc="T T T"
Ga 0.000 0.000 5.724
Sn 2.445 0.000 7.163
Sn 0.000 2.445 4.286
Zn 2.445 2.445 5.724
Ga 2.445 0.000 9.901
Ga 0.000 2.445 1.548
K 0.000 2.445 8.489
Sn 0.000 0.000 0.000
Sn 2.445 2.445 0.000
K 2.445 0.000 2.960
```



Entry 11:
Compound: KZnGaSn2
Source: Alexandria via LeMat-Bulk
Functional: PBE
Structure: relaxed

## Properties
Formation enthalpy at 0 K = -0.137 eV per atom
Total moment = 0.00 μB/f.u.
Space-group type = I-4m2
DFT total energy = -2.8177 eV/atom

Geometry as extended XYZ:
```
5
Lattice="4.844 0.000 0.000 0.000 4.844 0.000 -2.422 -2.422 5.822" Properties=species:S:1:pos:R:3 pbc="T T T"
Zn 2.422 0.000 2.911
K 0.000 0.000 0.000
Sn 0.000 0.000 4.362
Sn 2.422 2.422 1.459
Ga 0.000 2.422 2.911
```



Entry 12:
Compound: K2Zn3GaSn4
Source: Alexandria via LeMat-Bulk
Functional: PBE
Structure: relaxed

## Properties
Formation enthalpy at 0 K = -0.140 eV per atom
Total moment = 0.00 μB/f.u.
Space-group type = P-4m2
DFT total energy = -2.6452 eV/atom

Geometry as extended XYZ:
```
10
Lattice="4.681 0.000 0.000 0.000 4.681 0.000 0.000 0.000 11.923" Properties=species:S:1:pos:R:3 pbc="T T T"
Sn 0.000 2.341 4.382
Zn 0.000 0.000 5.962
Ga 2.341 2.341 5.962
Sn 2.341 0.000 7.542
Sn 0.000 0.000 0.000
Sn 2.341 2.341 0.000
Zn 0.000 2.341 1.676
K 2.341 0.000 3.032
K 0.000 2.341 8.891
Zn 2.341 0.000 10.247
```



Entry 13:
Compound: KZnGa2Sn
Source: Alexandria via LeMat-Bulk
Functional: PBE
Structure: relaxed

## Properties
Formation enthalpy at 0 K = -0.127 eV per atom
Total moment = 0.00 μB/f.u.
Space-group type = Imm2
DFT total energy = -2.6127 eV/atom

Geometry as extended XYZ:
```
5
Lattice="-4.274 1.681 -0.121 -1.606 -3.957 1.732 3.603 3.209 4.542" Properties=species:S:1:pos:R:3 pbc="T T T"
K 0.595 1.856 4.793
Ga 0.090 0.280 0.723
Zn -0.557 -1.211 2.847
Sn -2.506 0.216 4.302
Ga -1.892 1.604 1.910
```



Entry 14:
Compound: KSr2Ga
Source: Alexandria via LeMat-Bulk
Functional: PBE
Structure: relaxed

## Properties
Formation enthalpy at 0 K = -0.079 eV per atom
Total moment = 0.00 μB/f.u.
Space-group type = R3m
DFT total energy = -1.9511 eV/atom

Geometry as extended XYZ:
```
4
Lattice="4.371 0.000 0.000 2.186 3.786 0.000 2.186 1.262 11.871" Properties=species:S:1:pos:R:3 pbc="T T T"
Ga 4.371 2.524 0.003
Sr 2.186 1.262 9.845
Sr 2.186 1.262 2.033
K 4.371 2.524 5.926
```



Entry 15:
Compound: KSr2Ga2
Source: Alexandria via LeMat-Bulk
Functional: PBE
Structure: relaxed

## Properties
Formation enthalpy at 0 K = -0.190 eV per atom
Total moment = 0.00 μB/f.u.
Space-group type = P4/mbm
DFT total energy = -2.2933 eV/atom
Polymorph energy (0 for the lowest one) = 0.00 kJ/mol of atoms

Geometry as extended XYZ:
```
10
Lattice="9.054 0.000 0.000 0.000 9.054 0.000 0.000 0.000 4.293" Properties=species:S:1:pos:R:3 pbc="T T T"
Sr 1.587 6.115 2.146
Ga 0.963 3.564 0.000
K 4.527 4.527 0.000
Sr 2.940 1.587 2.146
K 0.000 0.000 0.000
Ga 5.490 0.963 0.000
Sr 7.467 2.940 2.146
Sr 6.115 7.467 2.146
Ga 8.091 5.490 0.000
Ga 3.564 8.091 0.000
```



Entry 16:
Compound: KSr2Ga
Source: Alexandria via LeMat-Bulk
Functional: PBE
Structure: relaxed

## Properties
Formation enthalpy at 0 K = -0.163 eV per atom
Total moment = 0.00 μB/f.u.
Space-group type = P4/mmm
DFT total energy = -2.0355 eV/atom

Geometry as extended XYZ:
```
4
Lattice="-1.472 -2.147 3.038 3.715 -0.684 1.317 -0.521 9.174 6.232" Properties=species:S:1:pos:R:3 pbc="T T T"
Sr -0.086 1.506 1.023
Ga 1.121 -1.416 2.178
K 0.861 3.171 5.294
Sr -0.436 7.668 5.209
```



Entry 17:
Compound: KSrGa2
Source: Alexandria via LeMat-Bulk
Functional: PBE
Structure: relaxed

## Properties
Formation enthalpy at 0 K = -0.035 eV per atom
Total moment = 0.00 μB/f.u.
Space-group type = Fm-3m
DFT total energy = -2.2432 eV/atom
Polymorph energy (0 for the lowest one) = 0.00 kJ/mol of atoms

Geometry as extended XYZ:
```
4
Lattice="5.105 -2.056 1.017 1.095 -2.476 4.898 0.794 -5.535 0.221" Properties=species:S:1:pos:R:3 pbc="T T T"
Ga 1.748 -2.517 1.534
Sr 3.497 -5.034 3.068
K 0.000 0.000 0.000
Ga 5.245 -7.551 4.602
```



Entry 18:
Compound: K2Sr2Ga
Source: Alexandria via LeMat-Bulk
Functional: PBE
Structure: relaxed

## Properties
Formation enthalpy at 0 K = 0.086 eV per atom
Total moment = 0.00 μB/f.u.
Space-group type = P4/mbm
DFT total energy = -1.6308 eV/atom

Geometry as extended XYZ:
```
10
Lattice="-6.369 -2.080 5.354 -0.020 -7.986 -3.127 4.950 -2.012 5.107" Properties=species:S:1:pos:R:3 pbc="T T T"
K -1.854 -8.986 3.606
K -2.772 -5.297 5.950
Sr -1.099 -2.980 -0.108
Sr -5.290 -7.087 2.336
K 1.333 -6.782 1.384
Ga 0.000 0.000 0.000
K 0.415 -3.092 3.728
Sr -2.109 -7.299 -0.832
Ga -3.195 -5.033 1.114
Sr -4.281 -2.767 3.059
```



Entry 19:
Compound: KSrGa
Source: Alexandria via LeMat-Bulk
Functional: PBE
Structure: relaxed

## Properties
Formation enthalpy at 0 K = -0.227 eV per atom
Total moment = 0.00 μB/f.u.
Space-group type = Cmcm
DFT total energy = -2.1626 eV/atom

Geometry as extended XYZ:
```
6
Lattice="4.454 0.000 0.000 0.000 4.711 0.000 0.000 2.356 12.726" Properties=species:S:1:pos:R:3 pbc="T T T"
K 1.113 4.711 8.062
K 3.340 2.356 4.663
Ga 3.340 2.356 0.710
Sr 3.340 2.356 11.065
Sr 1.113 4.711 1.660
Ga 1.113 4.711 12.015
```



Entry 20:
Compound: KSrGa2
Source: Alexandria via LeMat-Bulk
Functional: PBE
Structure: relaxed

## Properties
Formation enthalpy at 0 K = 0.194 eV per atom
Total moment = 0.00 μB/f.u.
Space-group type = I-42d
DFT total energy = -2.0143 eV/atom
Polymorph energy (0 for the lowest one) = 22.08 kJ/mol of atoms

Geometry as extended XYZ:
```
8
Lattice="8.970 0.000 0.000 0.000 8.970 0.000 4.485 4.485 3.435" Properties=species:S:1:pos:R:3 pbc="T T T"
Sr 8.970 4.485 1.717
Ga 11.212 11.286 2.576
Sr 0.000 0.000 0.000
Ga 2.168 6.727 0.859
K 4.485 4.485 0.000
Ga 6.727 6.653 2.576
Ga 6.801 2.242 0.859
K 4.485 8.970 1.717
```